VASP calculation (PBE) on SrRuO3 after structural relaxation.

Unit cell a=5.631 b=7.928 c=5.640 alpha=90.00 beta=90.00 gamma=90.00
Site moments in Bohr magnetons follow the coordinates.
Atoms (fractional coordinates):
O: 0.716 0.533 0.716  0.16
Ru: 0.000 0.000 0.500  1.41
O: 0.784 0.033 0.216  0.13
Sr: 0.470 0.750 0.505  0.01
O: 0.216 0.967 0.784  0.13
Sr: 0.970 0.750 0.995  0.01
O: 0.007 0.750 0.437  0.17
O: 0.993 0.250 0.563  0.17
O: 0.284 0.467 0.284  0.16
Sr: 0.030 0.250 0.005  0.01
O: 0.507 0.750 0.063  0.17
O: 0.716 0.967 0.716  0.16
O: 0.216 0.533 0.784  0.13
Ru: 0.500 0.000 0.000  1.40
Ru: 0.500 0.500 0.000  1.40
Sr: 0.530 0.250 0.495  0.01
Ru: 0.000 0.500 0.500  1.40
O: 0.284 0.033 0.284  0.16
O: 0.784 0.467 0.216  0.13
O: 0.493 0.250 0.937  0.17

Results
Electronic total energy in eV/cell: -138.71
Total magnetic moment in μB/atom: 0.4000
Formation energy from raw total energies in eV per atom: -1.769
Symmetry: Pnma, No. 62

VASP calculation (PBE) on SrRuO3 after structural relaxation.

Unit cell a=3.703 b=3.703 c=12.623 alpha=90.00 beta=90.00 gamma=120.00
Site moments in Bohr magnetons follow the coordinates.
Atoms (fractional coordinates):
O: 0.333 0.667 0.901  0.23
O: 0.667 0.333 0.099  0.23
O: 0.667 0.333 0.401  0.23
Ru: 0.667 0.333 0.250  2.01
Sr: 0.000 0.000 0.000  0.03
Sr: 0.000 0.000 0.500  0.03
O: 0.000 0.000 0.250  0.10
O: 0.000 0.000 0.750  0.10
O: 0.333 0.667 0.599  0.23
Ru: 0.333 0.667 0.750  2.01

Results
Electronic total energy in eV/cell: -66.82
Total magnetic moment in μB/atom: 0.5657
Formation energy from raw total energies in eV per atom: -1.516
Symmetry: P6_3/mmc, No. 194

VASP calculation (PBE) on SrRu3O9 after structural relaxation.

Unit cell a=5.492 b=7.475 c=8.020 alpha=90.00 beta=93.87 gamma=90.00
Site moments in Bohr magnetons follow the coordinates.
Atoms (fractional coordinates):
O: 0.699 0.464 0.876  0.03
O: 0.930 0.750 0.013  0.06
O: 0.834 0.447 0.209  0.03
O: 0.166 0.553 0.791  0.03
Ru: 0.000 0.500 0.000  -0.02
O: 0.699 0.036 0.876  0.03
O: 0.716 0.463 0.525  0.04
O: 0.070 0.250 0.987  0.06
Sr: 0.037 0.250 0.439  0.00
O: 0.716 0.037 0.525  0.04
O: 0.301 0.964 0.124  0.03
O: 0.284 0.963 0.475  0.04
O: 0.619 0.750 0.314  0.05
O: 0.166 0.947 0.791  0.03
O: 0.301 0.536 0.124  0.03
O: 0.284 0.537 0.475  0.04
Ru: 0.532 0.998 0.304  0.36
O: 0.834 0.053 0.209  0.03
Sr: 0.963 0.750 0.561  0.00
O: 0.558 0.750 0.699  0.07
Ru: 0.532 0.502 0.304  0.36
Ru: 0.468 0.002 0.696  0.36
Ru: 0.000 0.000 0.000  -0.02
O: 0.381 0.250 0.686  0.05
O: 0.442 0.250 0.301  0.07
Ru: 0.468 0.498 0.696  0.36

Results
Electronic total energy in eV/cell: -179.34
Total magnetic moment in μB/atom: 0.0886
Formation energy from raw total energies in eV per atom: -1.195
Symmetry: P2_1/m, No. 11

VASP calculation (PBE) on SrRuO3 after structural relaxation.

Unit cell a=4.632 b=10.672 c=6.201 alpha=90.00 beta=90.00 gamma=90.00
Atoms (fractional coordinates):
O: 0.498 0.602 0.605
O: 0.560 0.750 0.149
Ru: 0.972 0.750 0.048
Sr: 0.000 0.500 0.500
Ru: 0.528 0.250 0.548
Sr: 0.500 0.500 0.000
Sr: 0.500 0.000 0.000
Ru: 0.028 0.250 0.952
O: 0.002 0.398 0.105
O: 0.002 0.102 0.105
O: 0.498 0.898 0.605
O: 0.502 0.102 0.395
O: 0.502 0.398 0.395
Ru: 0.472 0.750 0.452
O: 0.440 0.250 0.851
O: 0.060 0.750 0.351
O: 0.998 0.898 0.895
Sr: 0.000 0.000 0.500
O: 0.940 0.250 0.649
O: 0.998 0.602 0.895

Results
Electronic total energy in eV/cell: -132.99
Total magnetic moment in μB/atom: 0.0000
Formation energy from raw total energies in eV per atom: -1.483
Symmetry: Pnma, No. 62

VASP calculation (PBE) on Sr2RuO2 after structural relaxation.

Unit cell a=6.786 b=6.786 c=3.464 alpha=90.00 beta=90.00 gamma=90.00
Site moments in Bohr magnetons follow the coordinates.
Atoms (fractional coordinates):
Sr: 0.343 0.157 0.500  0.00
Ru: 0.500 0.500 0.000  0.48
Sr: 0.843 0.343 0.500  -0.01
Ru: 0.000 0.000 0.000  0.46
O: 0.662 0.162 0.000  0.01
O: 0.338 0.838 0.000  0.01
Sr: 0.157 0.657 0.500  -0.01
Sr: 0.657 0.843 0.500  0.00
O: 0.838 0.662 0.000  0.00
O: 0.162 0.338 0.000  0.00

Results
Electronic total energy in eV/cell: -57.44
Total magnetic moment in μB/atom: 0.0984
Energy above the lowest structure with this stoichiometry in kJ per mole of atoms: 29.3
Formation energy from raw total energies in eV per atom: -1.233
Symmetry: P4/mbm, No. 127

VASP calculation (PBE) on Sr4RuO6 after structural relaxation.

Unit cell a=6.943 b=6.943 c=6.943 alpha=89.42 beta=89.42 gamma=90.58
Site moments in Bohr magnetons follow the coordinates.
Atoms (fractional coordinates):
O: 0.072 0.283 0.058  0.07
O: 0.283 0.942 0.928  0.07
Sr: 0.250 0.615 0.115  0.00
O: 0.442 0.783 0.428  0.07
O: 0.558 0.217 0.572  0.07
Sr: 0.750 0.750 0.250  0.00
Sr: 0.115 0.750 0.615  0.00
O: 0.058 0.928 0.283  0.07
O: 0.942 0.072 0.717  0.07
O: 0.428 0.558 0.783  0.07
O: 0.217 0.428 0.442  0.07
Sr: 0.885 0.250 0.385  0.00
O: 0.928 0.717 0.942  0.07
Sr: 0.385 0.115 0.250  0.00
Sr: 0.250 0.250 0.750  0.00
O: 0.717 0.058 0.072  0.07
Ru: 0.000 0.000 0.000  1.39
Sr: 0.750 0.385 0.885  0.00
O: 0.572 0.442 0.217  0.07
O: 0.783 0.572 0.558  0.07
Ru: 0.500 0.500 0.500  1.39
Sr: 0.615 0.885 0.750  0.00

Results
Electronic total energy in eV/cell: -142.38
Total magnetic moment in μB/atom: 0.1819
Formation energy from raw total energies in eV per atom: -2.312
Symmetry: R-3c, No. 167

VASP calculation (PBE) on SrRu2O5 after structural relaxation.

Unit cell a=3.224 b=6.218 c=6.218 alpha=49.40 beta=74.97 gamma=74.97
Atoms (fractional coordinates):
Sr: 0.000 0.000 0.000
Ru: 0.179 0.321 0.321
O: 0.339 0.407 0.915
Ru: 0.821 0.679 0.679
O: 0.339 0.915 0.407
O: 0.000 0.500 0.500
O: 0.661 0.085 0.593
O: 0.661 0.593 0.085

Results
Electronic total energy in eV/cell: -54.92
Total magnetic moment in μB/atom: 0.0002
Formation energy from raw total energies in eV per atom: -1.237
Symmetry: Immm, No. 71

VASP calculation (PBE) on SrRuO3 after structural relaxation.

Unit cell a=11.969 b=7.209 c=7.209 alpha=101.11 beta=132.50 gamma=47.50
Atoms (fractional coordinates):
Ru: 0.839 0.526 0.687
Ru: 0.339 0.813 0.974
Sr: 0.250 0.405 0.905
O: 0.431 0.636 0.805
O: 0.434 0.195 0.746
O: 0.628 0.605 0.626
Sr: 0.750 0.595 0.095
O: 0.128 0.874 0.895
O: 0.872 0.126 0.105
Ru: 0.661 0.187 0.026
O: 0.934 0.754 0.305
Sr: 0.750 0.150 0.650
O: 0.569 0.364 0.195
O: 0.372 0.395 0.374
O: 0.069 0.305 0.136
O: 0.931 0.695 0.864
Ru: 0.161 0.474 0.313
O: 0.066 0.246 0.695
Sr: 0.250 0.850 0.350
O: 0.566 0.805 0.254

Results
Electronic total energy in eV/cell: -135.19
Total magnetic moment in μB/atom: 0.0000
Formation energy from raw total energies in eV per atom: -1.593
Symmetry: C2/c, No. 15